(1)
Here is a geometry-optimized Pm6Dy16Ho7 structure from Alexandria. Energies are from PBE.

Output
- energy (Ry per atom) = -0.3227
- ρ (g/cm3) = 7.86
- formation enthalpy at 0 K (meV/atom) = 236

```
data_Pm6Dy16Ho7
_chemical_formula_sum 'Pm24 Dy64 Ho28'
_symmetry_space_group_name_H-M 'F m -3 m'
_symmetry_Int_Tables_number 225
_symmetry_space_group_name_Hall '-F 4 2 3'
_cell_length_a 15.7512
_cell_length_b 15.7512
_cell_length_c 15.7512
_cell_angle_alpha 90.00
_cell_angle_beta 90.00
_cell_angle_gamma 90.00
loop_
_atom_site_label
_atom_site_type_symbol
_atom_site_fract_x
_atom_site_fract_y
_atom_site_fract_z
Pm1 Pm 0.0000 0.0000 0.2238
Dy1 Dy 0.1248 0.1248 0.3752
Dy2 Dy 0.1517 0.1517 0.1517
Ho1 Ho 0.0000 0.0000 0.5000
Ho2 Ho 0.0000 0.2500 0.2500
```

***

(2)
Here is a geometry-optimized PmDy5Ho3 structure from Alexandria. Energies are from PBE.

Output
- polymorph energy (0 for the lowest one) (kcal/mol of atoms) = 2.33
- energy (Ry per atom) = -0.3079
- ρ (g/cm3) = 7.80
- formation enthalpy at 0 K (meV/atom) = 422

```
data_PmDy5Ho3
_chemical_formula_sum 'Pm4 Dy20 Ho12'
_symmetry_space_group_name_H-M 'C 1 2/m 1'
_symmetry_Int_Tables_number 12
_symmetry_space_group_name_Hall '-C 2y'
_cell_length_a 16.7795
_cell_length_b 7.9687
_cell_length_c 12.2025
_cell_angle_alpha 90.00
_cell_angle_beta 130.68
_cell_angle_gamma 90.00
loop_
_atom_site_label
_atom_site_type_symbol
_atom_site_fract_x
_atom_site_fract_y
_atom_site_fract_z
Pm1 Pm 0.2358 0.0000 0.1298
Dy1 Dy 0.0000 0.3202 0.0000
Dy2 Dy 0.0641 0.2060 0.7796
Dy3 Dy 0.1244 0.0000 0.5669
Dy4 Dy 0.2006 0.5000 0.0706
Ho1 Ho 0.0000 0.0000 0.0000
Ho2 Ho 0.0000 0.5000 0.5000
Ho3 Ho 0.1197 0.5000 0.3156
Ho4 Ho 0.1730 0.0000 0.3398
```

***

(3)
Here is a geometry-optimized Pm2Dy5Ho2 structure from Alexandria. Energies are from PBE.

Output
- polymorph energy (0 for the lowest one) (kcal/mol of atoms) = 2.44
- energy (Ry per atom) = -0.3243
- ρ (g/cm3) = 8.08
- formation enthalpy at 0 K (meV/atom) = 217

```
data_Pm2Dy5Ho2
_chemical_formula_sum 'Pm8 Dy20 Ho8'
_symmetry_space_group_name_H-M 'I m a 2'
_symmetry_Int_Tables_number 46
_symmetry_space_group_name_Hall 'I 2 -2a'
_cell_length_a 14.8873
_cell_length_b 11.7582
_cell_length_c 6.7271
_cell_angle_alpha 90.00
_cell_angle_beta 90.00
_cell_angle_gamma 90.00
loop_
_atom_site_label
_atom_site_type_symbol
_atom_site_fract_x
_atom_site_fract_y
_atom_site_fract_z
Pm1 Pm 0.1269 0.0014 0.0000
Dy1 Dy 0.0522 0.2476 0.3507
Dy2 Dy 0.1432 0.7358 0.1727
Dy3 Dy 0.2500 0.2468 0.1504
Ho1 Ho 0.0000 0.0000 0.5401
Ho2 Ho 0.2500 0.5115 0.9509
```

***

(4)
Here is a geometry-optimized Pm2Dy4Ho5 structure from Alexandria. Energies are from PBE.

Output
- polymorph energy (0 for the lowest one) (kcal/mol of atoms) = 4.62
- energy (Ry per atom) = -0.3233
- ρ (g/cm3) = 8.05
- formation enthalpy at 0 K (meV/atom) = 219

```
data_Pm2Dy4Ho5
_chemical_formula_sum 'Pm4 Dy8 Ho10'
_symmetry_space_group_name_H-M 'I m m m'
_symmetry_Int_Tables_number 71
_symmetry_space_group_name_Hall '-I 2 2'
_cell_length_a 3.4888
_cell_length_b 9.0172
_cell_length_c 23.1431
_cell_angle_alpha 90.00
_cell_angle_beta 90.00
_cell_angle_gamma 90.00
loop_
_atom_site_label
_atom_site_type_symbol
_atom_site_fract_x
_atom_site_fract_y
_atom_site_fract_z
Pm1 Pm 0.0000 0.0000 0.2320
Dy1 Dy 0.0000 0.0000 0.0969
Dy2 Dy 0.0000 0.3080 0.5000
Ho1 Ho 0.0000 0.1953 0.3576
Ho2 Ho 0.0000 0.5000 0.0000
```

***

(5)
Here is a geometry-optimized Pm7Dy2Ho2 structure from Alexandria. Energies are from PBE.

Output
- polymorph energy (0 for the lowest one) (kcal/mol of atoms) = 0.00
- energy (Ry per atom) = -0.3366
- ρ (g/cm3) = 7.47
- formation enthalpy at 0 K (meV/atom) = 112

```
data_Pm7Dy2Ho2
_chemical_formula_sum 'Pm14 Dy4 Ho4'
_symmetry_space_group_name_H-M 'I m m 2'
_symmetry_Int_Tables_number 44
_symmetry_space_group_name_Hall 'I 2 -2'
_cell_length_a 5.6489
_cell_length_b 16.0627
_cell_length_c 8.1815
_cell_angle_alpha 90.00
_cell_angle_beta 90.00
_cell_angle_gamma 90.00
loop_
_atom_site_label
_atom_site_type_symbol
_atom_site_fract_x
_atom_site_fract_y
_atom_site_fract_z
Pm1 Pm 0.0000 0.0000 0.0000
Pm2 Pm 0.0000 0.1635 0.2962
Pm3 Pm 0.0000 0.3648 0.5015
Pm4 Pm 0.0000 0.3665 0.0931
Dy1 Dy 0.0000 0.2007 0.7974
Ho1 Ho 0.0000 0.0000 0.5841
Ho2 Ho 0.0000 0.5000 0.7973
```

***

(6)
Here is a geometry-optimized Pm4Dy11Ho9 structure from Alexandria. Energies are from PBE.

Output
- energy (Ry per atom) = -0.3355
- ρ (g/cm3) = 8.38
- formation enthalpy at 0 K (meV/atom) = 53

```
data_Pm4Dy11Ho9
_chemical_formula_sum 'Pm8 Dy22 Ho18'
_symmetry_space_group_name_H-M 'C m m m'
_symmetry_Int_Tables_number 65
_symmetry_space_group_name_Hall '-C 2 2'
_cell_length_a 20.4489
_cell_length_b 21.1639
_cell_length_c 3.5275
_cell_angle_alpha 90.00
_cell_angle_beta 90.00
_cell_angle_gamma 90.00
loop_
_atom_site_label
_atom_site_type_symbol
_atom_site_fract_x
_atom_site_fract_y
_atom_site_fract_z
Pm1 Pm 0.1347 0.0861 0.0000
Dy1 Dy 0.0000 0.1592 0.5000
Dy2 Dy 0.0000 0.3314 0.5000
Dy3 Dy 0.0000 0.5000 0.5000
Dy4 Dy 0.2420 0.5000 0.5000
Dy5 Dy 0.2466 0.3317 0.5000
Ho1 Ho 0.0000 0.0000 0.0000
Ho2 Ho 0.1214 0.4154 0.0000
Ho3 Ho 0.1236 0.2480 0.0000
```

***

(7)
Here is a geometry-optimized Pm2Dy5Ho4 structure from Alexandria. Energies are from PBE.

Output
- polymorph energy (0 for the lowest one) (kcal/mol of atoms) = 0.00
- energy (Ry per atom) = -0.3383
- ρ (g/cm3) = 8.38
- formation enthalpy at 0 K (meV/atom) = 18

```
data_Pm2Dy5Ho4
_chemical_formula_sum 'Pm2 Dy5 Ho4'
_symmetry_space_group_name_H-M 'P -1'
_symmetry_Int_Tables_number 2
_symmetry_space_group_name_Hall '-P 1'
_cell_length_a 3.5534
_cell_length_b 8.7070
_cell_length_c 11.7845
_cell_angle_alpha 75.78
_cell_angle_beta 81.39
_cell_angle_gamma 89.99
loop_
_atom_site_label
_atom_site_type_symbol
_atom_site_fract_x
_atom_site_fract_y
_atom_site_fract_z
Pm1 Pm 0.0908 0.2276 0.3180
Dy1 Dy 0.0000 0.5000 0.5000
Dy2 Dy 0.2722 0.6827 0.9557
Dy3 Dy 0.3631 0.4074 0.7732
Ho1 Ho 0.1822 0.9541 0.1358
Ho2 Ho 0.4532 0.1374 0.5926
```

***

(8)
Here is a geometry-optimized PmDyHo2 structure from Alexandria. Energies are from PBE.

Output
- polymorph energy (0 for the lowest one) (kcal/mol of atoms) = 2.67
- energy (Ry per atom) = -0.3304
- ρ (g/cm3) = 8.02
- formation enthalpy at 0 K (meV/atom) = 132

```
data_PmDyHo2
_chemical_formula_sum 'Pm4 Dy4 Ho8'
_symmetry_space_group_name_H-M 'C 1 2/m 1'
_symmetry_Int_Tables_number 12
_symmetry_space_group_name_Hall '-C 2y'
_cell_length_a 13.0487
_cell_length_b 3.5493
_cell_length_c 11.4319
_cell_angle_alpha 90.00
_cell_angle_beta 93.98
_cell_angle_gamma 90.00
loop_
_atom_site_label
_atom_site_type_symbol
_atom_site_fract_x
_atom_site_fract_y
_atom_site_fract_z
Pm1 Pm 0.1328 0.0000 0.0200
Dy1 Dy 0.1330 0.5000 0.5001
Ho1 Ho 0.0086 0.5000 0.7724
Ho2 Ho 0.2322 0.0000 0.7439
```

***

(9)
Here is a geometry-optimized PmDy4Ho6 structure from Alexandria. Energies are from PBE.

Output
- polymorph energy (0 for the lowest one) (kcal/mol of atoms) = 7.45
- energy (Ry per atom) = -0.3054
- ρ (g/cm3) = 7.86
- formation enthalpy at 0 K (meV/atom) = 447

```
data_PmDy4Ho6
_chemical_formula_sum 'Pm2 Dy8 Ho12'
_symmetry_space_group_name_H-M 'I -4 2 m'
_symmetry_Int_Tables_number 121
_symmetry_space_group_name_Hall 'I -4 2'
_cell_length_a 7.6238
_cell_length_b 7.6238
_cell_length_c 12.9775
_cell_angle_alpha 90.00
_cell_angle_beta 90.00
_cell_angle_gamma 90.00
loop_
_atom_site_label
_atom_site_type_symbol
_atom_site_fract_x
_atom_site_fract_y
_atom_site_fract_z
Pm1 Pm 0.0000 0.0000 0.0000
Dy1 Dy 0.1665 0.1665 0.4237
Ho1 Ho 0.0000 0.5000 0.0000
Ho2 Ho 0.2454 0.2454 0.1856
```

***

(10)
Here is a geometry-optimized PmDyHo2 structure from Alexandria. Energies are from PBE.

Output
- polymorph energy (0 for the lowest one) (kcal/mol of atoms) = 2.73
- energy (Ry per atom) = -0.3302
- ρ (g/cm3) = 8.19
- formation enthalpy at 0 K (meV/atom) = 134

```
data_PmDyHo2
_chemical_formula_sum 'Pm4 Dy4 Ho8'
_symmetry_space_group_name_H-M 'F m -3 m'
_symmetry_Int_Tables_number 225
_symmetry_space_group_name_Hall '-F 4 2 3'
_cell_length_a 8.0260
_cell_length_b 8.0260
_cell_length_c 8.0260
_cell_angle_alpha 90.00
_cell_angle_beta 90.00
_cell_angle_gamma 90.00
loop_
_atom_site_label
_atom_site_type_symbol
_atom_site_fract_x
_atom_site_fract_y
_atom_site_fract_z
Pm1 Pm 0.0000 0.0000 0.0000
Dy1 Dy 0.0000 0.0000 0.5000
Ho1 Ho 0.2500 0.2500 0.2500
```

***

(11)
Here is a geometry-optimized Pm2Dy4Ho5 structure from Alexandria. Energies are from PBE.

Output
- polymorph energy (0 for the lowest one) (kcal/mol of atoms) = 0.00
- energy (Ry per atom) = -0.3381
- ρ (g/cm3) = 8.40
- formation enthalpy at 0 K (meV/atom) = 18

```
data_Pm2Dy4Ho5
_chemical_formula_sum 'Pm2 Dy4 Ho5'
_symmetry_space_group_name_H-M 'P -1'
_symmetry_Int_Tables_number 2
_symmetry_space_group_name_Hall '-P 1'
_cell_length_a 3.5513
_cell_length_b 8.7031
_cell_length_c 11.7795
_cell_angle_alpha 75.80
_cell_angle_beta 81.39
_cell_angle_gamma 89.99
loop_
_atom_site_label
_atom_site_type_symbol
_atom_site_fract_x
_atom_site_fract_y
_atom_site_fract_z
Pm1 Pm 0.0915 0.2287 0.3174
Dy1 Dy 0.1819 0.9539 0.1357
Dy2 Dy 0.4536 0.1381 0.5924
Ho1 Ho 0.0000 0.5000 0.5000
Ho2 Ho 0.2716 0.6815 0.9561
Ho3 Ho 0.3636 0.4078 0.7734
```

***

(12)
Here is a geometry-optimized PmDy7Ho3 structure from Alexandria. Energies are from PBE.

Output
- polymorph energy (0 for the lowest one) (kcal/mol of atoms) = 0.00
- energy (Ry per atom) = -0.3282
- ρ (g/cm3) = 8.29
- formation enthalpy at 0 K (meV/atom) = 144

```
data_PmDy7Ho3
_chemical_formula_sum 'Pm1 Dy7 Ho3'
_symmetry_space_group_name_H-M 'P 1 2/m 1'
_symmetry_Int_Tables_number 10
_symmetry_space_group_name_Hall '-P 2y'
_cell_length_a 6.9418
_cell_length_b 5.5298
_cell_length_c 9.8648
_cell_angle_alpha 90.00
_cell_angle_beta 109.85
_cell_angle_gamma 90.00
loop_
_atom_site_label
_atom_site_type_symbol
_atom_site_fract_x
_atom_site_fract_y
_atom_site_fract_z
Pm1 Pm 0.0000 0.0000 0.0000
Dy1 Dy 0.0000 0.0000 0.5000
Dy2 Dy 0.1468 0.5000 0.7902
Dy3 Dy 0.3244 0.5000 0.1424
Dy4 Dy 0.4223 0.0000 0.3314
Ho1 Ho 0.2777 0.5000 0.4974
Ho2 Ho 0.5000 0.0000 0.0000
```